Density functional theory data (PBE-GGA) for an optimized crystal structure of LaPmSm3Tm.

Unit cell a=8.1043 b=5.1489 c=10.2582 alpha=90.00 beta=108.42 gamma=90.00
Space group P2_1/m (No. 11)
Symmetry-distinct sites (fractional):
La1 0.1669 0.2500 0.2900
Pm1 0.4995 0.2500 0.6277
Sm1 0.1686 0.7500 0.5447
Sm2 0.1706 0.2500 0.7939
Sm3 0.1710 0.7500 0.0403
Tm1 0.4971 0.7500 0.8778

The value obtained for the magnetic moment is 0.000 Bohr magnetons per cell. As for the calculated density: 7.4 Mg/m³. For the formation energy, the calculation gives 0.0232 eV/atom.